A relaxed BMoOs3 crystal. Source: Alexandria via LeMat-Bulk, functional PBE.

Computed properties:
Energy of formation in eV/atom: 0.2140
VASP energy in eV per cell: -50.13
Fermi-level density of states in states/eV/cell: 4.1

```
BMoOs3
1.0
4.079 0.000 0.000
0.000 4.079 0.000
0.000 0.000 4.079
B Mo Os
1 1 3
Direct
0.000 0.000 0.000 B
0.500 0.500 0.500 Mo
0.000 0.000 0.500 Os
0.000 0.500 0.000 Os
0.500 0.000 0.000 Os
```